MnAsPtO6: relaxed, PBE+U.

Computed properties:
The value obtained for the theoretical density is 6.890 g/cm3. Its uncorrected energy is -114.5 eV/cell.

a b c (Å): 5.068 5.068 9.121
angles (deg): 90.00 90.00 120.00
Last column: magnetic moment on the atom in μB.
Positions (direct):
O 0.981 0.348 0.135  -0.07
O 0.019 0.652 0.865  -0.07
O 0.367 0.348 0.365  -0.07
O 0.367 0.019 0.135  -0.07
O 0.348 0.981 0.635  -0.07
O 0.652 0.633 0.135  -0.07
O 0.652 0.019 0.365  -0.07
O 0.348 0.367 0.865  -0.07
O 0.633 0.981 0.865  -0.07
O 0.633 0.652 0.635  -0.07
O 0.981 0.633 0.365  -0.07
O 0.019 0.367 0.635  -0.07
Pt 0.333 0.667 0.250  -0.21
Pt 0.667 0.333 0.750  -0.21
Mn 0.000 0.000 0.000  4.52
Mn 0.000 0.000 0.500  4.52
As 0.667 0.333 0.250  0.02
As 0.333 0.667 0.750  0.02